Density functional theory data (GGA-PBE) for a geometry-optimized Li2Sn3Br8 structure.

Cell: 7.487 8.744 8.342 Å, 121.61 107.44 90.00°
Element x y z (fractional)
Br  0.749  0.375  0.248
Br  0.245  0.627  0.253
Br  0.251  0.127  0.752
Br  0.257  0.132  0.264
Br  0.755  0.373  0.747
Br  0.251  0.625  0.752
Br  0.743  0.868  0.736
Br  0.749  0.873  0.248
Li  0.384  0.334  0.667
Li  0.616  0.666  0.333
Sn  0.500  0.000  0.000
Sn  0.000  0.262  0.000
Sn  0.000  0.738  0.000

Calculated values
N(E_F): 0.000 states/eV/atom
electronic total energy: -3.227 eV/atom
total moment: 0.00 μB/f.u.
formation energy from raw total energies: -1228 kJ/mol of formula units